DFT (SCAN) results for a crystal of LiTeSeN2 relaxed with PBEsol.

Properties
- uncorrected formation energy (eV per atom) = 1.24
- V (Å³/cell) = 83.93
- E (eV/atom) = -14.4238
- space group = P4/mmm, No. 123
- total moment (μB per cell) = 2.1

Structure (extended XYZ):
```
5
Lattice="-0.2217 3.0268 2.2900 -3.3288 -1.2570 1.3392 2.7847 -2.9431 4.1594" Properties=species:S:1:pos:R:3 pbc="T T T"
Te 1.3924 -1.4715 2.0797
N -1.6644 -0.6285 0.6696
N -0.1108 1.5134 1.1450
Li -0.3829 -0.5867 3.8943
Se 0.0000 0.0000 0.0000
```

=====

DFT (SCAN) results for a crystal of Ba3NiSb relaxed with PBEsol.

Properties
- uncorrected formation energy (eV per atom) = 0.14
- V (Å³/cell) = 273.66
- E (eV/atom) = -34.2791
- space group = Pm-3m, No. 221
- total moment (μB per cell) = 0.2

Structure (extended XYZ):
```
5
Lattice="-0.4805 6.0144 2.3972 -5.6579 0.7786 -3.0875 -3.1477 -2.3175 5.1838" Properties=species:S:1:pos:R:3 pbc="T T T"
Ba -1.5739 -1.1588 2.5919
Ni -4.6430 2.2377 2.2467
Sb 0.0000 0.0000 0.0000
Ba -2.8290 0.3893 -1.5438
Ba -0.2402 3.0072 1.1986
```

=====

DFT (SCAN) results for a crystal of KAl2B relaxed with PBEsol.

Properties
- V (Å³/cell) = 207.34
- energy of formation (eV/f.u.) = 2.1
- E (eV/atom) = -7.2936
- space group = Fd-3m, No. 227
- total moment (μB per cell) = 0.0

Structure (extended XYZ):
```
8
Lattice="6.6436 0.0000 0.0000 3.3218 5.7535 0.0000 3.3218 1.9178 5.4245" Properties=species:S:1:pos:R:3 pbc="T T T"
B 0.0000 0.0000 0.0000
K 6.6436 3.8357 2.7122
K 9.9654 5.7535 4.0683
B 3.3218 1.9178 1.3561
Al 1.6609 0.9589 0.6781
Al 3.3218 1.9178 3.3903
Al 3.3218 3.8357 0.6781
Al 4.9827 0.9589 0.6781
```

=====

DFT (SCAN) results for a crystal of Li2VSiO4 relaxed with PBEsol.

Properties
- uncorrected formation energy (eV per atom) = -2.52
- V (Å³/cell) = 163.13
- E (eV/atom) = -9.6691
- space group = Pc, No. 7
- total moment (μB per cell) = 6.0

Structure (extended XYZ):
```
16
Lattice="-1.9721 -3.8917 -1.1873 5.0384 -2.7807 0.7459 -1.4660 -1.0608 5.9479" Properties=species:S:1:pos:R:3 pbc="T T T"
V 2.7887 -2.2138 1.8389
O -1.3818 -3.1548 2.3832
O 1.8975 -4.4551 1.4919
Si 2.5149 -4.7687 3.0152
O 3.2565 -3.3551 3.4210
Li 2.3236 -2.8103 5.0131
Si -1.1326 -4.3107 -1.0549
V -0.3491 -3.9071 4.0092
O -1.8894 -3.9400 5.2940
Li 0.1482 -3.1648 1.1610
O 1.0273 -1.4217 1.4271
O 0.2879 -2.0117 4.7838
O 1.2962 -4.9951 4.1017
Li 1.7770 -5.4371 5.9525
O 4.3019 -2.8667 0.5898
Li 0.0024 -1.0326 3.0550
```